# 1
The following is a PBE calculation of crystalline Rb2CaMgI6 at its relaxed geometry, from the Alexandria database.

The value obtained for the volume is 1753.4 Å³/cell. The value obtained for the energy above the lowest structure with this stoichiometry is 0.16 eV/f.u. The total magnetization is 0.0 μB/f.u.

It has space group Fm-3m (No. 225), with a = 12.058 Å, b = 12.058 Å, c = 12.058 Å, α = 90.00°, β = 90.00° and γ = 90.00°. The inequivalent atoms are Rb at (0.250, 0.250, 0.250), Ca at (0.000, 0.000, 0.000), Mg at (0.000, 0.000, 0.500) and I at (0.000, 0.000, 0.257).


# 2
The following is a PBE calculation of crystalline Tb2HoErTh at its relaxed geometry, from the Alexandria database.

The value obtained for the volume is 335.2 Å³/cell. The calculation puts the calculated formation energy at 0.33 eV/atom. The total magnetization is 0.0 μB/f.u.

It has space group P2/c (No. 13), with a = 8.462 Å, b = 6.321 Å, c = 6.301 Å, α = 90.00°, β = 95.96° and γ = 90.00°. The inequivalent atoms are Tb at (0.188, 0.201, 0.281), Ho at (0.500, 0.500, 0.000), Er at (0.000, 0.316, 0.750) and Th at (0.500, 0.052, 0.750).